# 1
Computed, not measured: crystalline Rb2ZrAuSe4 at its relaxed geometry at the PBE-GGA level of DFT.

**Space-group type**: No. 82
**Uncorrected formation energy**: -7.28 eV/f.u.

```
Rb2ZrAuSe4
1.0
7.042 0.224 0.343
-2.798 6.466 -0.343
-2.798 -2.916 5.781
Se Zr Rb Au
4 1 2 1
direct
0.117 0.252 0.678
0.883 0.561 0.135
0.426 0.865 0.748
0.574 0.322 0.439
0.500 0.250 0.750
0.500 0.750 0.250
0.000 0.000 0.000
0.000 0.500 0.500
```

# 2
Computed, not measured: crystalline Tb3Nd2Se8 at its relaxed geometry at the PBE-GGA level of DFT.

**Space-group type**: No. 12
**Uncorrected formation energy**: -22.45 eV/f.u.

```
Tb3Nd2Se8
1.0
7.079 0.000 0.207
0.000 8.363 0.000
-2.628 -4.181 6.767
Tb Se Nd
3 8 2
direct
0.500 0.000 0.000
0.000 0.261 0.000
0.000 0.739 0.000
0.412 0.884 0.241
0.078 0.884 0.769
0.922 0.116 0.231
0.075 0.378 0.757
0.588 0.643 0.759
0.412 0.357 0.241
0.925 0.622 0.243
0.588 0.116 0.759
0.661 0.740 0.479
0.339 0.260 0.521
```

# 3
Computed, not measured: crystalline GdTmZrIn at its relaxed geometry at the PBE-GGA level of DFT.

**ΔH_f (0 K)**: -0.0805 eV/atom
**Space-group type**: No. 216

```
GdTmZrIn
1.0
5.330 0.000 0.000
2.665 4.616 0.000
2.665 1.539 4.352
Tm Gd In Zr
1 1 1 1
direct
0.500 0.500 0.500
0.000 0.000 0.000
0.250 0.250 0.250
0.750 0.750 0.750
```

# 4
Computed, not measured: crystalline Na2FeI at its relaxed geometry at the PBE-GGA level of DFT.

**Space-group type**: No. 122
**Distance to the lowest polymorph of the same formula**: 0.012 eV/atom
**Uncorrected formation energy**: 1.47 eV/f.u.

```
Na2FeI
1.0
-6.970 0.913 4.377
-4.223 -4.008 -5.888
-4.922 -4.845 1.005
I Na Fe
2 4 2
direct
0.000 0.000 0.000
0.750 0.250 0.500
0.875 0.874 0.750
0.624 0.125 0.250
0.375 0.376 0.750
0.126 0.625 0.250
0.250 0.750 0.500
0.500 0.500 0.000
```

# 5
Computed, not measured: crystalline Ac2TmHfO6 at its relaxed geometry at the PBE-GGA level of DFT.

**Space-group type**: No. 14
**Uncorrected formation energy**: -33.18 eV/f.u.

```
Ac2TmHfO6
1.0
-4.325 -1.630 3.753
-1.446 -4.550 -3.643
5.468 -5.015 4.093
Hf O Ac Tm
2 12 4 2
direct
0.500 0.000 0.500
0.000 0.500 0.000
0.582 0.027 0.256
0.799 0.810 0.542
0.685 0.297 0.543
0.815 0.797 0.957
0.701 0.310 0.958
0.082 0.473 0.756
0.201 0.190 0.458
0.315 0.703 0.457
0.918 0.527 0.244
0.418 0.973 0.744
0.185 0.203 0.043
0.299 0.690 0.042
0.999 0.050 0.752
0.499 0.450 0.252
0.001 0.950 0.248
0.501 0.550 0.748
0.000 0.500 0.500
0.500 0.000 0.000
```

# 6
Computed, not measured: crystalline Mg2Cu9Se at its relaxed geometry at the PBE-GGA level of DFT.

**Space-group type**: No. 166
**Uncorrected formation energy**: 0.34 eV/f.u.

```
Mg2Cu9Se
1.0
8.585 0.004 0.002
7.148 4.755 0.002
7.148 2.162 4.235
Cu Mg Se
9 2 1
direct
0.082 0.588 0.588
0.500 0.500 0.500
0.667 0.667 0.667
0.918 0.412 0.412
0.412 0.412 0.918
0.333 0.333 0.333
0.588 0.082 0.588
0.412 0.918 0.412
0.588 0.588 0.082
0.142 0.142 0.142
0.858 0.858 0.858
0.000 0.000 0.000
```

# 7
Computed, not measured: crystalline Pm12In3Cu at its relaxed geometry at the PBE-GGA level of DFT.

**ΔH_f (0 K)**: -0.1728 eV/atom
**Space-group type**: No. 123

```
Pm12In3Cu
1.0
-2.796 -0.657 -4.026
-0.569 -4.771 1.174
-15.928 4.443 10.335
Pm In Cu
12 3 1
direct
0.500 0.500 0.243
0.500 0.000 0.883
0.500 0.500 0.500
0.500 0.000 0.117
0.500 0.000 0.628
0.500 0.500 0.000
0.000 0.500 0.372
0.000 0.500 0.117
0.500 0.000 0.372
0.500 0.500 0.757
0.000 0.500 0.628
0.000 0.500 0.883
0.000 0.000 0.500
0.000 0.000 0.755
0.000 0.000 0.245
0.000 0.000 0.000
```

# 8
Computed, not measured: crystalline Pa3GaTc at its relaxed geometry at the PBE-GGA level of DFT.

**ΔH_f (0 K)**: -0.1693 eV/atom
**Space-group type**: No. 12

```
Pa3GaTc
1.0
4.553 -0.003 -0.001
2.275 5.087 -0.211
0.000 1.876 9.801
Pa Tc Ga
6 2 2
direct
0.729 0.109 0.631
0.218 0.133 0.950
0.416 0.736 0.705
0.470 0.627 0.110
0.959 0.651 0.428
0.272 0.025 0.354
0.610 0.349 0.359
0.079 0.411 0.700
0.911 0.746 0.906
0.777 0.015 0.153
```

# 9
Computed, not measured: crystalline Pm3DyHg2C at its relaxed geometry at the PBE-GGA level of DFT.

**ΔH_f (0 K)**: -0.3216 eV/atom
**Space-group type**: No. 71

```
Pm3DyHg2C
1.0
4.928 0.000 0.000
0.000 5.109 0.000
-2.464 -2.554 7.580
Pm Hg Dy C
3 2 1 1
direct
0.000 0.500 0.000
0.167 0.167 0.335
0.833 0.833 0.665
0.371 0.371 0.741
0.629 0.629 0.259
0.500 0.000 0.000
0.000 0.000 0.000
```

# 10
Computed, not measured: crystalline SrAgPCl2 at its relaxed geometry at the PBE-GGA level of DFT.

**Space-group type**: No. 123
**Distance to the lowest polymorph of the same formula**: 0.278 eV/atom
**Uncorrected formation energy**: -1.64 eV/f.u.

```
SrAgPCl2
1.0
-2.955 4.632 0.517
-4.427 -2.980 1.406
1.632 0.379 5.938
P Sr Cl Ag
1 1 2 1
direct
0.000 0.000 0.500
0.000 0.000 0.000
0.500 0.000 0.000
0.000 0.500 0.000
0.500 0.500 0.500
```

# 11
Computed, not measured: crystalline HfAlIO2 at its relaxed geometry at the PBE-GGA level of DFT.

**Space-group type**: No. 123
**Distance to the lowest polymorph of the same formula**: 0.000 eV/atom
**Uncorrected formation energy**: -7.17 eV/f.u.

```
HfAlIO2
1.0
-1.133 -3.914 -0.762
2.960 -1.357 2.566
-3.851 0.227 4.564
Al I O Hf
1 1 2 1
direct
0.500 0.500 0.500
0.000 0.000 0.500
0.500 0.000 0.000
0.000 0.500 0.000
0.000 0.000 0.000
```

# 12
Computed, not measured: crystalline TmZr2Sc at its relaxed geometry at the PBE-GGA level of DFT.

**ΔH_f (0 K)**: 0.0712 eV/atom
**Space-group type**: No. 166
**Distance to the lowest polymorph of the same formula**: 0.019 eV/atom

```
TmZr2Sc
1.0
3.252 0.000 0.000
1.626 2.816 0.000
1.626 0.939 10.772
Sc Zr Tm
1 2 1
direct
0.000 0.000 0.000
0.748 0.748 0.755
0.252 0.252 0.245
0.500 0.500 0.500
```

Total magnetization in μB per cell, matching the order above: 0.00, 0.00, 9.69, 6.00, 0.00, 0.00, 0.00, 0.00, 0.00, 2.00, 0.00, 0.00